[1]
Here is a geometry-optimized MnVPt4 structure from the Alexandria database. Energies are from GGA-PBE.

* SG: C2/m
* energy of formation: -1.657 eV per formula unit
* ΔE to the lowest computed polymorph: 10.8 kJ/mol of atoms

Lattice parameters (Å, degrees): 2.7860 4.5464 8.6391 114.93 90.00 107.84
Site moments in Bohr magnetons follow the coordinates.
Element x y z (fractional)
1 Mn 0.0000 0.0000 0.0000  3.60
2 V 0.5000 0.0000 0.5000  -0.22
3 Pt 0.6530 0.3061 0.8420  0.11
4 Pt 0.3470 0.6939 0.1579  0.11
5 Pt 0.1557 0.3114 0.3479  0.01
6 Pt 0.8443 0.6886 0.6521  0.01



[2]
Here is a geometry-optimized CaSm3Y structure from the Alexandria database. Energies are from GGA-PBE.

* SG: R-3
* energy of formation: 1.885 eV per formula unit
* ΔE to the lowest computed polymorph: 6.0 kJ/mol of atoms

Lattice parameters (Å, degrees): 6.1651 6.1651 12.3398 75.53 75.53 60.00
Element x y z (fractional)
1 Ca 0.3334 0.3334 0.9998
2 Ca 0.6665 0.6665 0.0004
3 Sm 0.0929 0.4173 0.7377
4 Sm 0.7521 0.0929 0.7377
5 Sm 0.5827 0.2479 0.2623
6 Sm 0.2479 0.9071 0.2623
7 Sm 0.9071 0.5827 0.2623
8 Sm 0.4173 0.7521 0.7377
9 Y 0.1664 0.1664 0.5008
10 Y 0.8336 0.8336 0.4992



[3]
Here is a geometry-optimized Cs12Rb5Pd3 structure from the Alexandria database. Energies are from GGA-PBE.

* SG: Ia-3d
* energy of formation: 4.209 eV per formula unit

Lattice parameters (Å, degrees): 21.5066 21.5066 21.5066 109.47 109.47 109.47
Element x y z (fractional)
1 Pd 0.7500 0.3750 0.1250
2 Pd 0.8750 0.7500 0.1250
3 Pd 0.3750 0.7500 0.6250
4 Pd 0.2500 0.1250 0.3750
5 Pd 0.8750 0.1250 0.2500
6 Pd 0.3750 0.6250 0.2500
7 Pd 0.6250 0.3750 0.7500
8 Pd 0.1250 0.8750 0.7500
9 Pd 0.7500 0.8750 0.6250
10 Pd 0.6250 0.2500 0.3750
11 Pd 0.1250 0.2500 0.8750
12 Pd 0.2500 0.6250 0.8750
13 Rb 0.1250 0.3750 0.2500
14 Rb 0.0000 0.5000 0.0000
15 Rb 0.0000 0.0000 0.0000
16 Rb 0.3750 0.2500 0.1250
17 Rb 0.5000 0.0000 0.5000
18 Rb 0.5000 0.5000 0.0000
19 Rb 0.1250 0.7500 0.3750
20 Rb 0.7500 0.1250 0.8750
21 Rb 0.7500 0.6250 0.3750
22 Rb 0.3750 0.1250 0.7500
23 Rb 0.6250 0.8750 0.2500
24 Rb 0.5000 0.5000 0.5000
25 Rb 0.5000 0.0000 0.0000
26 Rb 0.0000 0.0000 0.5000
27 Rb 0.2500 0.3750 0.6250
28 Rb 0.2500 0.8750 0.1250
29 Rb 0.0000 0.5000 0.5000
30 Rb 0.8750 0.2500 0.6250
31 Rb 0.6250 0.7500 0.8750
32 Rb 0.8750 0.6250 0.7500
33 Cs 0.7627 0.1301 0.1005
34 Cs 0.3378 0.6005 0.4704
35 Cs 0.8995 0.3699 0.2373
36 Cs 0.6005 0.2627 0.1301
37 Cs 0.6326 0.7627 0.6622
38 Cs 0.8995 0.5296 0.1622
39 Cs 0.3378 0.7373 0.3674
40 Cs 0.0296 0.8674 0.1301
41 Cs 0.5296 0.8995 0.6622
42 Cs 0.7627 0.6326 0.1622
43 Cs 0.7373 0.3995 0.3699
44 Cs 0.8378 0.9704 0.1005
45 Cs 0.1301 0.7627 0.6005
46 Cs 0.3699 0.4704 0.1326
47 Cs 0.1326 0.9704 0.3699
48 Cs 0.3674 0.1301 0.5296
49 Cs 0.1326 0.1622 0.2627
50 Cs 0.3995 0.6622 0.0296
51 Cs 0.8378 0.8674 0.2373
52 Cs 0.1301 0.3674 0.0296
53 Cs 0.3699 0.8995 0.7373
54 Cs 0.5296 0.6301 0.3674
55 Cs 0.9704 0.8378 0.6005
56 Cs 0.7373 0.3378 0.8674
57 Cs 0.4704 0.3699 0.6326
58 Cs 0.0296 0.1622 0.3995
59 Cs 0.2627 0.6622 0.1326
60 Cs 0.1622 0.1326 0.7627
61 Cs 0.6301 0.1005 0.2627
62 Cs 0.8699 0.6326 0.9704
63 Cs 0.6005 0.3378 0.9704
64 Cs 0.6326 0.8699 0.4704
65 Cs 0.8674 0.8378 0.7373
66 Cs 0.8674 0.0296 0.6301
67 Cs 0.8699 0.2373 0.3995
68 Cs 0.1622 0.0296 0.8995
69 Cs 0.6301 0.5296 0.8674
70 Cs 0.4704 0.1005 0.3378
71 Cs 0.2373 0.3674 0.8378
72 Cs 0.2627 0.6005 0.6301
73 Cs 0.9704 0.1326 0.8699
74 Cs 0.6622 0.2627 0.6326
75 Cs 0.3995 0.7373 0.8699
76 Cs 0.1005 0.4704 0.8378
77 Cs 0.3674 0.2373 0.3378
78 Cs 0.1005 0.6301 0.7627
79 Cs 0.6622 0.3995 0.5296
80 Cs 0.2373 0.8699 0.8995



[4]
Here is a geometry-optimized CuTe8 structure from the Alexandria database. Energies are from GGA-PBE.

* SG: I4/mmm
* formation energy without anion corrections: 0.145 eV per atom

Lattice parameters (Å, degrees): 9.5776 9.5776 9.5776 92.73 92.73 154.80
Element x y z (fractional)
1 Cu 0.0000 0.0000 0.0000
2 Te 0.6757 0.3243 0.0000
3 Te 0.3243 0.6757 0.0000
4 Te 0.0000 0.8016 0.8016
5 Te 0.3243 0.3243 0.6485
6 Te 0.8016 0.0000 0.8016
7 Te 0.6757 0.6757 0.3515
8 Te 0.0000 0.1984 0.1984
9 Te 0.1984 0.0000 0.1984



[5]
Here is a geometry-optimized NdSm4Se5 structure from the Alexandria database. Energies are from GGA-PBE.

* SG: I4/mmm
* formation energy without anion corrections: -1.819 eV per atom
* ΔE to the lowest computed polymorph: 0.4 kJ/mol of atoms

Lattice parameters (Å, degrees): 4.1800 4.1800 15.1242 97.94 97.94 90.00
Element x y z (fractional)
1 Nd 0.0000 0.0000 0.0000
2 Sm 0.4015 0.4015 0.8031
3 Sm 0.7973 0.7973 0.5946
4 Sm 0.2027 0.2027 0.4054
5 Sm 0.5985 0.5985 0.1969
6 Se 0.1018 0.1018 0.2036
7 Se 0.5000 0.5000 0.0000
8 Se 0.8982 0.8982 0.7964
9 Se 0.3018 0.3018 0.6036
10 Se 0.6982 0.6982 0.3964



[6]
Here is a geometry-optimized FeRu2WS structure from the Alexandria database. Energies are from GGA-PBE.

* SG: P4/mmm
* formation energy without anion corrections: 0.791 eV per atom

Lattice parameters (Å, degrees): 4.3056 4.1104 4.3056 90.00 90.00 90.00
Site moments in Bohr magnetons follow the coordinates.
Element x y z (fractional)
1 Ru 0.0000 0.0000 0.5000  0.03
2 Ru 0.5000 0.0000 0.0000  -0.19
3 S 0.0000 0.0000 0.0000  -0.01
4 Fe 0.0000 0.5000 0.0000  1.98
5 W 0.5000 0.5000 0.5000  0.38



[7]
Here is a geometry-optimized MgTlZn structure from the Alexandria database. Energies are from GGA-PBE.

* SG: F-43m
* energy of formation: 0.154 eV per formula unit
* ΔE to the lowest computed polymorph: 0.9 kJ/mol of atoms

Lattice parameters (Å, degrees): 4.6545 4.6545 4.6545 60.00 60.00 60.00
Element x y z (fractional)
1 Mg 0.0000 0.0000 0.0000
2 Tl 0.5000 0.5000 0.5000
3 Zn 0.7500 0.7500 0.7500



| no. | ρ (Mg/m³) |
| --- | --- |
| 1 | 15.8 |
| 2 | 5.0 |
| 3 | 2.0 |
| 4 | 4.9 |
| 5 | 7.3 |
| 6 | 10.3 |
| 7 | 6.8 |